Entry 1:
The following is a PBE calculation of a relaxed structure of CaY2O2, from Alexandria.

Output
Formation energy from raw total energies   -2.282 eV/atom
Density of states at the Fermi level   4.16 states/eV/f.u.
Offset from the most stable computed form   0.0000 eV per atom
Volume   133 Å³/f.u.
Raw total energy   -7.251 eV/atom

Cell lengths 3.9431, 3.9431, 8.9754 Å; angles 77.31, 77.31, 90.00 degrees
Closest atoms and distances in Å follow each position.
Fractional coordinates of all 5 atoms:
1 O 0.7500 0.2500 0.5000  4 Y 2.24
2 O 0.2500 0.7500 0.5000  4 Y 2.24
3 Y 0.3128 0.3128 0.3743  4 O 2.24
4 Y 0.6872 0.6872 0.6257  4 O 2.24
5 Ca 0.0000 0.0000 0.0000  4 Ca 3.94, 8 Y 4.24

---

Entry 2:
The following is a PBE calculation of a relaxed structure of PaHRh2, from Alexandria.

Output
Density of states at the Fermi level   4.52 states/eV/f.u.
Offset from the most stable computed form   0.0000 eV per atom
Volume   64 Å³/f.u.
Raw total energy   -7.007 eV/atom

Cell lengths 3.4638, 3.4638, 5.3602 Å; angles 90.00, 90.00, 90.00 degrees
Closest atoms and distances in Å follow each position.
Fractional coordinates of all 4 atoms:
1 H 0.5000 0.5000 0.5000  2 Pa 2.68, 8 Rh 2.77
2 Rh 0.0000 0.0000 0.7396  2 Rh 2.57-2.79, 4 H 2.77, 4 Pa 2.82
3 Pa 0.5000 0.5000 0.0000  2 H 2.68, 8 Rh 2.82
4 Rh 0.0000 0.0000 0.2604  2 Rh 2.57-2.79, 4 H 2.77, 4 Pa 2.82

---

Entry 3:
The following is a PBE calculation of a relaxed structure of CuHgAu2, from Alexandria.

Output
Calculated formation energy   0.2 eV/f.u.
Density of states at the Fermi level   0.98 states/eV/f.u.
Volume   73 Å³/f.u.
Raw total energy   -2.677 eV/atom

Cell lengths 9.5373, 9.5373, 9.5373 Å; angles 18.03, 18.03, 18.03 degrees
Closest atoms and distances in Å follow each position.
Fractional coordinates of all 4 atoms:
1 Au 0.5110 0.5110 0.5110  3 Cu 2.67
2 Cu 0.2500 0.2500 0.2500  6 Au 2.67
3 Hg 0.7500 0.7500 0.7500  6 Hg 2.99, 6 Au 3.17
4 Au 0.9890 0.9890 0.9890  3 Cu 2.67

---

Entry 4:
The following is a PBE calculation of a relaxed structure of Nb2VHPd, from Alexandria.

Output
Density of states at the Fermi level   5.35 states/eV/f.u.
Offset from the most stable computed form   0.0000 eV per atom
Volume   68 Å³/f.u.
Raw total energy   -7.661 eV/atom

Cell lengths 4.2488, 4.2488, 3.7423 Å; angles 90.00, 90.00, 90.00 degrees
Closest atoms and distances in Å follow each position.
Fractional coordinates of all 5 atoms:
1 Nb 0.0000 0.5000 0.0000  2 H 2.12
2 Pd 0.5000 0.5000 0.5000  8 Nb 2.83, 4 V 3.00
3 H 0.0000 0.0000 0.0000  2 V 1.87
4 V 0.0000 0.0000 0.5000  2 H 1.87
5 Nb 0.5000 0.0000 0.0000  2 H 2.12

---

Entry 5:
The following is a PBE calculation of a relaxed structure of In2Ga7, from Alexandria.

Output
Calculated formation energy   0.6 eV/f.u.
Density of states at the Fermi level   4.42 states/eV/f.u.
Offset from the most stable computed form   0.0124 eV per atom
Volume   195 Å³/f.u.
Raw total energy   -2.900 eV/atom

Cell lengths 5.9763, 5.9763, 13.0512 Å; angles 76.76, 76.76, 60.00 degrees
Closest atoms and distances in Å follow each position.
Fractional coordinates of all 18 atoms:
1 Ga 0.0000 0.5000 0.0000  8 Ga 2.73-2.99
2 Ga 0.5000 0.0000 0.0000  8 Ga 2.73-2.99
3 In 0.0484 0.0484 0.8548  12 Ga 3.46-3.50, 2 In 3.57-3.66
4 Ga 0.2775 0.2775 0.1676  6 Ga 2.73-2.75
5 Ga 0.3785 0.3785 0.3421  5 Ga 2.68-2.85
6 Ga 0.6215 0.0991 0.6579  5 Ga 2.68-2.85
7 Ga 0.3785 0.9009 0.3421  5 Ga 2.68-2.85
8 Ga 0.5000 0.5000 0.5000  6 Ga 2.68
9 Ga 0.6082 0.6082 0.1754  6 Ga 2.77-2.80
10 Ga 0.3918 0.3918 0.8246  6 Ga 2.77-2.80
11 Ga 0.5000 0.5000 0.0000  8 Ga 2.73-2.99
12 Ga 0.0991 0.6215 0.6579  5 Ga 2.68-2.85
13 In 0.9516 0.9516 0.1452  12 Ga 3.46-3.50, 2 In 3.57-3.66
14 Ga 0.9009 0.3785 0.3421  5 Ga 2.68-2.85
15 Ga 0.6215 0.6215 0.6579  5 Ga 2.68-2.85
16 Ga 0.7225 0.7225 0.8324  6 Ga 2.73-2.75
17 In 0.1429 0.1429 0.5713  9 Ga 3.18-3.32
18 In 0.8571 0.8571 0.4287  9 Ga 3.18-3.32

---

Entry 6:
The following is a PBE calculation of a relaxed structure of BeMoPd, from Alexandria.

Output
Calculated formation energy   -0.4 eV/f.u.
Density of states at the Fermi level   1.35 states/eV/f.u.
Offset from the most stable computed form   0.0947 eV per atom
Volume   39 Å³/f.u.
Raw total energy   -6.728 eV/atom

Cell lengths 6.7903, 2.7465, 4.3001 Å; angles 89.99, 89.88, 78.27 degrees
Closest atoms and distances in Å follow each position.
Fractional coordinates of all 6 atoms:
1 Mo 0.4940 0.5101 0.1308  6 Be 2.53-2.59, 4 Mo 2.72-2.75
2 Pd 0.1092 0.1996 0.1328  2 Be 2.40
3 Be 0.5625 0.9753 0.6298  2 Pd 2.33, 6 Mo 2.52-2.59
4 Pd 0.8456 0.3320 0.6337  6 Be 2.33-2.56
5 Be 0.8134 0.8475 0.1342  6 Pd 2.40-2.56, 2 Mo 2.53
6 Mo 0.2436 0.6313 0.6323  2 Be 2.52-2.53, 4 Pd 2.70, 4 Mo 2.72-2.75

---

Entry 7:
The following is a PBE calculation of a relaxed structure of Ce4PuZn, from Alexandria.

Output
Calculated formation energy   0.3 eV/f.u.
Density of states at the Fermi level   13.16 states/eV/f.u.
Offset from the most stable computed form   0.0646 eV per atom
Volume   163 Å³/f.u.
Raw total energy   -6.503 eV/atom

Cell lengths 6.6991, 7.1171, 8.2276 Å; angles 110.90, 109.06, 100.73 degrees
Closest atoms and distances in Å follow each position.
Fractional coordinates of all 12 atoms:
1 Ce 0.0413 0.8292 0.0748  2 Pu 2.54-2.63
2 Zn 0.6225 0.3725 0.7450  8 Ce 2.98-3.34
3 Ce 0.4665 0.7544 0.9252  2 Pu 2.54-2.63
4 Ce 0.7410 0.0453 0.4182  1 Pu 2.42
5 Ce 0.1772 0.3730 0.4182  1 Pu 2.42
6 Pu 0.1651 0.9151 0.8302  6 Ce 2.42-2.63
7 Ce 0.9587 0.1708 0.9252  2 Pu 2.54-2.63
8 Zn 0.3775 0.6275 0.2550  8 Ce 2.98-3.34
9 Pu 0.8349 0.0849 0.1698  6 Ce 2.42-2.63
10 Ce 0.2590 0.9547 0.5818  1 Pu 2.42
11 Ce 0.5335 0.2456 0.0748  2 Pu 2.54-2.63
12 Ce 0.8228 0.6270 0.5818  1 Pu 2.42

---

Entry 8:
The following is a PBE calculation of a relaxed structure of Y5ZrP6, from Alexandria.

Output
Calculated formation energy   -19.0 eV/f.u.
Density of states at the Fermi level   2.57 states/eV/f.u.
Volume   264 Å³/f.u.
Raw total energy   -7.695 eV/atom

Cell lengths 6.8626, 6.8620, 6.8567 Å; angles 59.97, 80.39, 70.52 degrees
Closest atoms and distances in Å follow each position.
Fractional coordinates of all 12 atoms:
1 P 0.2436 0.9189 0.6761  1 Zr 2.72, 5 Y 2.80-2.86
2 Zr 0.0000 0.0000 0.0000  6 P 2.72-2.73
3 P 0.7550 0.7582 0.0000  1 Zr 2.73, 5 Y 2.80-2.88
4 P 0.7564 0.0811 0.3239  1 Zr 2.72, 5 Y 2.80-2.86
5 Y 0.0000 0.3339 0.3322  6 P 2.80-2.81
6 P 0.7564 0.4050 0.6761  1 Zr 2.72, 5 Y 2.80-2.86
7 Y 0.5000 0.5000 0.0000  6 P 2.80-2.88
8 Y 0.5000 0.1687 0.6627  6 P 2.80-2.86
9 Y 0.0000 0.6661 0.6678  6 P 2.80-2.81
10 Y 0.5000 0.8313 0.3373  6 P 2.80-2.86
11 P 0.2436 0.5950 0.3239  1 Zr 2.72, 5 Y 2.80-2.86
12 P 0.2450 0.2418 0.0000  1 Zr 2.73, 5 Y 2.80-2.88

---

Question: The lowest volume belongs to which entry?
Answer: BeMoPd

---

Question: Among the records above, which one has the lowest density of states at the Fermi level?
Answer: CuHgAu2

---

Question: What is the volume in the third record?
Answer: 73 Å³/f.u.

---

Question: Which formula does entry 7 have?
Answer: Ce4PuZn